# 1
# CaRhW

A relaxed CaRhW crystal (PBE-GGA, the Alexandria database).

a = 6.4589 Å, b = 6.4588 Å, c = 3.1656 Å
α = 75.82°, β = 75.81°, γ = 28.37°
Last column: nearest neighbours and their distance in Å.
Positions (direct):
Ca1 0.0009 0.0009 0.9991  4 Ca 3.17, 4 Rh 3.28, 4 W 3.30
Rh1 0.6986 0.6986 0.3014  4 W 2.56
W1 0.3006 0.3006 0.6994  4 Rh 2.56

Calculated values
The value obtained for the total energy is -7.193 eV per atom. As for the energy above the most stable polymorph in this dataset: 0.0 meV/atom. For the formation enthalpy at 0 K, the calculation gives 0.24 eV/atom. As for the size of the total moment: 0.000 μB per atom.


# 2
# ReNiAgS2

A relaxed ReNiAgS2 crystal (PBE-GGA, the Alexandria database).

a = 4.3334 Å, b = 4.8629 Å, c = 4.3334 Å
α = 90.00°, β = 90.00°, γ = 90.00°
Last column: nearest neighbours and their distance in Å.
Positions (direct):
Re1 0.0000 0.5000 0.0000  2 Ni 2.43
S1 0.0000 0.0000 0.5000  2 Ni 2.17
S2 0.5000 0.0000 0.0000  2 Ni 2.17
Ag1 0.5000 0.5000 0.5000  4 Re 3.06, 8 S 3.26
Ni1 0.0000 0.0000 0.0000  4 S 2.17

Calculated values
As for the energy relative to the elements, uncorrected: 1115 meV per atom. The value obtained for the total energy is -4.752 eV per atom. As for the size of the total moment: 0.662 μB per atom.


# 3
# VCr2GaN

A relaxed VCr2GaN crystal (PBE-GGA, the Alexandria database).

a = 3.8393 Å, b = 3.8393 Å, c = 3.9145 Å
α = 90.00°, β = 90.00°, γ = 90.00°
Last column: nearest neighbours and their distance in Å.
Positions (direct):
Cr1 0.0000 0.5000 0.0000  2 N 1.92
Cr2 0.5000 0.0000 0.0000  2 N 1.92
N1 0.0000 0.0000 0.0000  4 Cr 1.92, 2 V 1.96
Ga1 0.5000 0.5000 0.5000  4 V 2.71, 8 Cr 2.74
V1 0.0000 0.0000 0.5000  2 N 1.96

Calculated values
As for the energy relative to the elements, uncorrected: -382 meV per atom. The value obtained for the total energy is -8.326 eV per atom. As for the size of the total moment: 0.038 μB per atom.


# 4
# MnCr3Br

A relaxed MnCr3Br crystal (PBE-GGA, the Alexandria database).

a = 4.2765 Å, b = 4.2765 Å, c = 4.2765 Å
α = 90.00°, β = 90.00°, γ = 90.00°
Last column: nearest neighbours and their distance in Å.
Positions (direct):
Cr1 0.0000 0.5000 0.0000  2 Br 2.14
Cr2 0.0000 0.0000 0.5000  2 Br 2.14
Cr3 0.5000 0.0000 0.0000  2 Br 2.14
Mn1 0.5000 0.5000 0.5000  12 Cr 3.02
Br1 0.0000 0.0000 0.0000  6 Cr 2.14

Calculated values
As for the energy relative to the elements, uncorrected: 1836 meV per atom. The value obtained for the total energy is -6.106 eV per atom. As for the energy above the most stable polymorph in this dataset: 377.9 meV/atom. As for the size of the total moment: 0.076 μB per atom.


# 5
# DyEr3Tl4

A relaxed DyEr3Tl4 crystal (PBE-GGA, the Alexandria database).

a = 6.5139 Å, b = 6.4891 Å, c = 10.5545 Å
α = 90.00°, β = 90.00°, γ = 90.00°
Last column: nearest neighbours and their distance in Å.
Positions (direct):
Dy1 0.8784 0.4553 0.0000  4 Tl 3.20-3.31, 4 Er 3.34-3.48
Dy2 0.3784 0.5447 0.5000  4 Tl 3.20-3.31, 4 Er 3.34-3.48
Er1 0.7504 0.9563 0.0000  4 Tl 3.19-3.31, 2 Dy 3.34-3.36, 2 Er 3.47
Er2 0.0642 0.7519 0.2496  6 Tl 3.24-3.30, 2 Er 3.47-3.59, 2 Dy 3.48-3.60
Er3 0.5642 0.2481 0.2504  6 Tl 3.24-3.30, 2 Er 3.47-3.59, 2 Dy 3.48-3.60
Er4 0.2504 0.0437 0.5000  4 Tl 3.19-3.31, 2 Dy 3.34-3.36, 2 Er 3.47
Er5 0.5642 0.2481 0.7496  6 Tl 3.24-3.30, 2 Er 3.47-3.59, 2 Dy 3.48-3.60
Er6 0.0642 0.7519 0.7504  6 Tl 3.24-3.30, 2 Er 3.47-3.59, 2 Dy 3.48-3.60
Tl1 0.2577 0.9851 0.0000  4 Er 3.22-3.31, 4 Tl 3.32-3.41
Tl2 0.3713 0.4842 0.0000  2 Dy 3.22-3.31, 2 Er 3.30, 4 Tl 3.32-3.38
Tl3 0.0645 0.2516 0.2516  5 Er 3.19-3.26, 1 Dy 3.20, 2 Tl 3.38-3.41
Tl4 0.5645 0.7484 0.2484  5 Er 3.19-3.26, 1 Dy 3.20, 2 Tl 3.38-3.41
Tl5 0.8713 0.5158 0.5000  2 Dy 3.22-3.31, 2 Er 3.30, 4 Tl 3.32-3.38
Tl6 0.7577 0.0149 0.5000  4 Er 3.22-3.31, 4 Tl 3.32-3.41
Tl7 0.5645 0.7484 0.7516  5 Er 3.19-3.26, 1 Dy 3.20, 2 Tl 3.38-3.41
Tl8 0.0645 0.2516 0.7484  5 Er 3.19-3.26, 1 Dy 3.20, 2 Tl 3.38-3.41

Calculated values
The value obtained for the total energy is -3.665 eV per atom. As for the energy above the most stable polymorph in this dataset: 125.3 meV/atom. For the formation enthalpy at 0 K, the calculation gives -0.20 eV/atom. As for the size of the total moment: 0.000 μB per atom.


# 6
# NaSrLiPr

A relaxed NaSrLiPr crystal (PBE-GGA, the Alexandria database).

a = 5.8836 Å, b = 5.8836 Å, c = 5.8836 Å
α = 60.00°, β = 60.00°, γ = 60.00°
Last column: nearest neighbours and their distance in Å.
Positions (direct):
Pr1 0.7500 0.7500 0.7500  4 Na 3.60, 4 Li 3.60
Sr1 0.2500 0.2500 0.2500  4 Na 3.60, 4 Li 3.60
Li1 0.0000 0.0000 0.0000  4 Sr 3.60, 4 Pr 3.60
Na1 0.5000 0.5000 0.5000  4 Pr 3.60, 4 Sr 3.60

Calculated values
The value obtained for the total energy is -2.212 eV per atom. For the formation enthalpy at 0 K, the calculation gives 0.21 eV/atom. As for the size of the total moment: 0.000 μB per atom.